(1)
DFT (PBE) results for an optimized crystal structure of La2YTm2Mg5.

a b c (Å): 10.638 10.638 5.085
angles (deg): 90.00 90.00 90.00
Atoms (fractional coordinates):
La  0.176  0.324  0.000
La  0.324  0.824  0.000
La  0.676  0.176  0.000
La  0.824  0.676  0.000
Y  0.000  0.000  0.000
Y  0.500  0.500  0.000
Tm  0.120  0.620  0.000
Tm  0.380  0.120  0.000
Tm  0.620  0.880  0.000
Tm  0.880  0.380  0.000
Mg  0.000  0.500  0.500
Mg  0.070  0.800  0.500
Mg  0.200  0.070  0.500
Mg  0.300  0.570  0.500
Mg  0.430  0.300  0.500
Mg  0.500  0.000  0.500
Mg  0.570  0.700  0.500
Mg  0.700  0.430  0.500
Mg  0.800  0.930  0.500
Mg  0.930  0.200  0.500

* SG: P4/mbm, No. 127
* E: -3.32 eV per atom
* energy of formation: 0.02 kcal/mol of atoms


(2)
DFT (PBE) results for an optimized crystal structure of Na2Pb2I.

a b c (Å): 5.300 5.300 13.096
angles (deg): 90.00 90.00 90.00
Atoms (fractional coordinates):
Na  0.000  0.500  0.250
Na  0.000  0.500  0.750
Na  0.500  0.000  0.250
Na  0.500  0.000  0.750
Pb  0.000  0.000  0.109
Pb  0.000  0.000  0.891
Pb  0.500  0.500  0.391
Pb  0.500  0.500  0.609
I  0.000  0.000  0.500
I  0.500  0.500  0.000

* SG: I4/mmm, No. 139
* energy above the most stable polymorph in this dataset: 273 meV per atom
* energy relative to the elements, uncorrected: 0.0702 eV/atom
* E: -2.25 eV per atom